No. 1
{
  "formula": "LiLa2Cl",
  "functional": "PBE-GGA",
  "state": "relaxed",
  "space_group": "F-43m (216)",
  "total_energy_ev_per_atom": -3.41,
  "relative_energy_mev_per_atom": 674,
  "lattice": [[-0.886, 4.977, -1.469], [-2.019, 1.022, -4.753], [-4.936, 1.777, -0.436]],
  "species": ["La", "La", "Cl", "Li"],
  "fractional_positions": [[0.000, 0.000, 0.000], [0.250, 0.250, 0.250], [0.500, 0.500, 0.500], [0.750, 0.750, 0.750]]
}

No. 2
{
  "formula": "LaGaSnPd3",
  "functional": "PBE-GGA",
  "state": "relaxed",
  "e_form_ev_per_atom": -0.66,
  "space_group": "Cmcm (63)",
  "total_energy_ev_per_atom": -5.25,
  "lattice": [[-1.707, 4.135, 5.648], [-5.393, 0.564, -2.043], [0.978, -5.297, 4.174]],
  "species": ["Pd", "Pd", "Pd", "La", "Pd", "Pd", "Sn", "Pd", "Ga", "La", "Ga", "Sn"],
  "fractional_positions": [[0.000, 0.259, 0.000], [0.000, 0.741, 0.000], [0.500, 0.259, 0.000], [0.750, 0.318, 0.637], [0.250, 0.154, 0.308], [0.500, 0.741, 0.000], [0.250, 0.368, 0.736], [0.750, 0.846, 0.692], [0.750, 0.060, 0.121], [0.250, 0.682, 0.363], [0.250, 0.940, 0.879], [0.750, 0.632, 0.264]]
}

No. 3
{
  "formula": "Na2PaH6",
  "functional": "PBE-GGA",
  "state": "relaxed",
  "space_group": "C2/m (12)",
  "total_energy_ev_per_atom": -3.75,
  "relative_energy_mev_per_atom": 0,
  "lattice": [[-1.761, 0.094, -3.591], [2.871, -2.364, -1.470], [-3.960, -3.928, 4.068]],
  "species": ["H", "H", "H", "H", "Na", "H", "H", "Na", "Pa"],
  "fractional_positions": [[0.823, 0.323, 0.646], [0.077, 0.078, 0.155], [0.923, 0.922, 0.845], [0.177, 0.677, 0.354], [0.250, 0.251, 0.500], [0.577, 0.583, 0.154], [0.423, 0.417, 0.846], [0.750, 0.749, 0.500], [0.000, 0.500, 0.000]]
}

| no. | V (Å³ per cell) |
| --- | --- |
| 1 | 103 |
| 2 | 258 |
| 3 | 101 |